Below is an optimized crystal structure of K2Er2P3O12, with properties calculated at the PBEsol level.

Cell lengths 10.545, 10.545, 10.545 Å; angles 90.00, 90.00, 90.00 degrees
Element x y z (fractional)
K  0.057  0.057  0.057
K  0.182  0.318  0.682
K  0.318  0.682  0.182
K  0.443  0.943  0.557
K  0.557  0.443  0.943
K  0.682  0.182  0.318
K  0.818  0.818  0.818
K  0.943  0.557  0.443
Er  0.101  0.899  0.399
Er  0.167  0.667  0.833
Er  0.333  0.333  0.333
Er  0.399  0.101  0.899
Er  0.601  0.601  0.601
Er  0.667  0.833  0.167
Er  0.833  0.167  0.667
Er  0.899  0.399  0.101
P  0.016  0.217  0.375
P  0.125  0.984  0.717
P  0.217  0.375  0.016
P  0.283  0.625  0.516
P  0.375  0.016  0.217
P  0.484  0.783  0.875
P  0.516  0.283  0.625
P  0.625  0.516  0.283
P  0.717  0.125  0.984
P  0.783  0.875  0.484
P  0.875  0.484  0.783
P  0.984  0.717  0.125
O  0.006  0.068  0.722
O  0.023  0.080  0.324
O  0.047  0.805  0.224
O  0.068  0.722  0.006
O  0.080  0.324  0.023
O  0.093  0.850  0.765
O  0.150  0.265  0.407
O  0.176  0.977  0.580
O  0.195  0.724  0.453
O  0.222  0.494  0.932
O  0.224  0.047  0.805
O  0.235  0.593  0.650
O  0.265  0.407  0.150
O  0.276  0.953  0.305
O  0.278  0.506  0.432
O  0.305  0.276  0.953
O  0.324  0.023  0.080
O  0.350  0.735  0.907
O  0.407  0.150  0.265
O  0.420  0.676  0.523
O  0.432  0.278  0.506
O  0.453  0.195  0.724
O  0.477  0.920  0.824
O  0.494  0.932  0.222
O  0.506  0.432  0.278
O  0.523  0.420  0.676
O  0.547  0.695  0.776
O  0.568  0.778  0.994
O  0.580  0.176  0.977
O  0.593  0.650  0.235
O  0.650  0.235  0.593
O  0.676  0.523  0.420
O  0.695  0.776  0.547
O  0.722  0.006  0.068
O  0.724  0.453  0.195
O  0.735  0.907  0.350
O  0.765  0.093  0.850
O  0.776  0.547  0.695
O  0.778  0.994  0.568
O  0.805  0.224  0.047
O  0.824  0.477  0.920
O  0.850  0.765  0.093
O  0.907  0.350  0.735
O  0.920  0.824  0.477
O  0.932  0.222  0.494
O  0.953  0.305  0.276
O  0.977  0.580  0.176
O  0.994  0.568  0.778

The calculation puts the uncorrected formation energy at -2.679 eV per atom. As for the space group: P2_13.

Below is an optimized crystal structure of KErP2O7, with properties calculated at the PBEsol level.

Cell lengths 7.588, 10.869, 8.605 Å; angles 90.00, 107.64, 90.00 degrees
Element x y z (fractional)
K  0.169  0.181  0.073
K  0.169  0.319  0.573
K  0.831  0.681  0.427
K  0.831  0.819  0.927
Er  0.233  0.596  0.253
Er  0.233  0.904  0.753
Er  0.767  0.096  0.247
Er  0.767  0.404  0.747
P  0.130  0.602  0.813
P  0.130  0.898  0.313
P  0.444  0.643  0.694
P  0.444  0.857  0.194
P  0.556  0.143  0.806
P  0.556  0.357  0.306
P  0.870  0.102  0.687
P  0.870  0.398  0.187
O  0.011  0.000  0.211
O  0.011  0.500  0.711
O  0.070  0.729  0.737
O  0.070  0.771  0.237
O  0.134  0.597  0.990
O  0.134  0.903  0.490
O  0.330  0.615  0.519
O  0.330  0.885  0.019
O  0.339  0.576  0.810
O  0.339  0.924  0.310
O  0.365  0.084  0.758
O  0.365  0.416  0.258
O  0.459  0.721  0.240
O  0.459  0.779  0.740
O  0.541  0.221  0.260
O  0.541  0.279  0.760
O  0.635  0.584  0.742
O  0.635  0.916  0.242
O  0.661  0.076  0.690
O  0.661  0.424  0.190
O  0.670  0.115  0.981
O  0.670  0.385  0.481
O  0.866  0.097  0.510
O  0.866  0.403  0.010
O  0.930  0.229  0.763
O  0.930  0.271  0.263
O  0.989  0.000  0.789
O  0.989  0.500  0.289

The calculation puts the uncorrected formation energy at -2.722 eV per atom. As for the space group: P2_1/c.

Below is an optimized crystal structure of K3ErS3O12, with properties calculated at the PBEsol level.

Cell lengths 9.165, 14.654, 8.950 Å; angles 90.00, 110.83, 90.00 degrees
Element x y z (fractional)
K  0.000  0.012  0.000
K  0.000  0.988  0.500
K  0.113  0.442  0.216
K  0.113  0.558  0.716
K  0.165  0.263  0.923
K  0.165  0.737  0.423
K  0.516  0.487  0.009
K  0.516  0.513  0.509
K  0.619  0.075  0.174
K  0.619  0.925  0.674
K  0.639  0.263  0.884
K  0.639  0.737  0.384
Er  0.339  0.144  0.428
Er  0.339  0.856  0.928
Er  0.845  0.325  0.468
Er  0.845  0.675  0.968
S  0.005  0.193  0.252
S  0.005  0.807  0.752
S  0.261  0.346  0.625
S  0.261  0.654  0.125
S  0.355  0.046  0.805
S  0.355  0.954  0.305
S  0.506  0.310  0.265
S  0.506  0.690  0.765
S  0.761  0.156  0.612
S  0.761  0.844  0.112
S  0.837  0.449  0.814
S  0.837  0.551  0.314
O  0.073  0.142  0.406
O  0.073  0.858  0.906
O  0.100  0.320  0.617
O  0.100  0.680  0.117
O  0.139  0.201  0.194
O  0.139  0.799  0.694
O  0.213  0.003  0.308
O  0.213  0.997  0.808
O  0.256  0.431  0.537
O  0.256  0.569  0.037
O  0.324  0.271  0.554
O  0.324  0.729  0.054
O  0.340  0.059  0.636
O  0.340  0.941  0.136
O  0.358  0.355  0.796
O  0.358  0.645  0.296
O  0.378  0.371  0.175
O  0.378  0.629  0.675
O  0.382  0.132  0.893
O  0.382  0.868  0.393
O  0.446  0.215  0.269
O  0.446  0.785  0.769
O  0.486  0.020  0.382
O  0.486  0.980  0.882
O  0.586  0.344  0.433
O  0.586  0.656  0.933
O  0.597  0.157  0.606
O  0.597  0.843  0.106
O  0.633  0.307  0.196
O  0.633  0.693  0.696
O  0.674  0.435  0.804
O  0.674  0.565  0.304
O  0.769  0.168  0.448
O  0.769  0.832  0.948
O  0.838  0.071  0.687
O  0.838  0.929  0.187
O  0.843  0.239  0.701
O  0.843  0.761  0.201
O  0.849  0.435  0.653
O  0.849  0.565  0.153
O  0.874  0.144  0.134
O  0.874  0.856  0.634
O  0.885  0.454  0.358
O  0.885  0.546  0.858
O  0.945  0.387  0.931
O  0.945  0.613  0.431
O  0.955  0.285  0.282
O  0.955  0.715  0.782

The calculation puts the uncorrected formation energy at -2.071 eV per atom. As for the space group: Pc.

Below is an optimized crystal structure of KErW2O8, with properties calculated at the PBEsol level.

Cell lengths 7.406, 7.406, 7.437 Å; angles 117.88, 117.88, 88.44 degrees
Element x y z (fractional)
K  0.204  0.796  0.750
K  0.796  0.204  0.250
Er  0.228  0.772  0.250
Er  0.772  0.228  0.750
W  0.300  0.303  0.267
W  0.303  0.300  0.767
W  0.697  0.700  0.233
W  0.700  0.697  0.733
O  0.039  0.211  0.686
O  0.062  0.380  0.121
O  0.211  0.039  0.186
O  0.235  0.380  0.551
O  0.369  0.588  0.031
O  0.380  0.062  0.621
O  0.380  0.235  0.051
O  0.412  0.631  0.469
O  0.588  0.369  0.531
O  0.620  0.765  0.949
O  0.620  0.938  0.379
O  0.631  0.412  0.969
O  0.765  0.620  0.449
O  0.789  0.961  0.814
O  0.938  0.620  0.879
O  0.961  0.789  0.314

The calculation puts the uncorrected formation energy at -2.566 eV per atom. As for the space group: C2/c.

Below is an optimized crystal structure of K3Er7S12, with properties calculated at the PBEsol level.

Cell lengths 3.893, 11.710, 24.321 Å; angles 90.00, 90.00, 90.00 degrees
Element x y z (fractional)
K  0.000  0.049  0.000
K  0.000  0.308  0.342
K  0.000  0.445  0.730
K  0.500  0.555  0.230
K  0.500  0.692  0.842
K  0.500  0.951  0.500
Er  0.000  0.145  0.658
Er  0.000  0.257  0.868
Er  0.000  0.355  0.081
Er  0.000  0.520  0.451
Er  0.000  0.692  0.048
Er  0.000  0.814  0.689
Er  0.000  0.976  0.291
Er  0.500  0.024  0.791
Er  0.500  0.186  0.189
Er  0.500  0.308  0.548
Er  0.500  0.480  0.951
Er  0.500  0.645  0.581
Er  0.500  0.743  0.368
Er  0.500  0.855  0.158
S  0.000  0.018  0.177
S  0.000  0.156  0.548
S  0.000  0.175  0.767
S  0.000  0.328  0.972
S  0.000  0.341  0.193
S  0.000  0.480  0.563
S  0.000  0.587  0.347
S  0.000  0.635  0.942
S  0.000  0.704  0.157
S  0.000  0.796  0.581
S  0.000  0.868  0.796
S  0.000  0.894  0.391
S  0.500  0.106  0.891
S  0.500  0.132  0.296
S  0.500  0.204  0.081
S  0.500  0.296  0.657
S  0.500  0.365  0.442
S  0.500  0.413  0.847
S  0.500  0.520  0.063
S  0.500  0.659  0.693
S  0.500  0.672  0.472
S  0.500  0.825  0.267
S  0.500  0.844  0.048
S  0.500  0.982  0.677

The calculation puts the uncorrected formation energy at -2.004 eV per atom. As for the space group: Pmn2_1.

Below is an optimized crystal structure of KErTe2, with properties calculated at the PBEsol level.

Cell lengths 4.385, 4.385, 24.315 Å; angles 90.00, 90.00, 120.00 degrees
Element x y z (fractional)
K  0.000  0.000  0.000
K  0.333  0.667  0.667
K  0.667  0.333  0.333
Er  0.000  0.000  0.500
Er  0.333  0.667  0.167
Er  0.667  0.333  0.833
Te  0.000  0.000  0.236
Te  0.000  0.000  0.764
Te  0.333  0.667  0.431
Te  0.333  0.667  0.903
Te  0.667  0.333  0.097
Te  0.667  0.333  0.569

The calculation puts the uncorrected formation energy at -1.358 eV per atom. As for the space group: R-3m.

Below is an optimized crystal structure of LaEr3, with properties calculated at the PBEsol level.

Cell lengths 4.969, 4.969, 9.810 Å; angles 90.00, 90.00, 90.00 degrees
Element x y z (fractional)
La  0.000  0.000  0.000
La  0.500  0.500  0.500
Er  0.000  0.000  0.500
Er  0.000  0.500  0.250
Er  0.000  0.500  0.750
Er  0.500  0.000  0.250
Er  0.500  0.000  0.750
Er  0.500  0.500  0.000

The calculation puts the total DFT energy (no corrections) at -4.99 eV/atom. As for the space group: I4/mmm.

Below is an optimized crystal structure of LaErMg2, with properties calculated at the PBEsol level.

Cell lengths 7.622, 7.622, 7.622 Å; angles 90.00, 90.00, 90.00 degrees
Element x y z (fractional)
La  0.000  0.000  0.000
La  0.000  0.500  0.500
La  0.500  0.000  0.500
La  0.500  0.500  0.000
Er  0.000  0.000  0.500
Er  0.000  0.500  0.000
Er  0.500  0.000  0.000
Er  0.500  0.500  0.500
Mg  0.250  0.250  0.250
Mg  0.250  0.250  0.750
Mg  0.250  0.750  0.250
Mg  0.250  0.750  0.750
Mg  0.750  0.250  0.250
Mg  0.750  0.250  0.750
Mg  0.750  0.750  0.250
Mg  0.750  0.750  0.750

The calculation puts the total DFT energy (no corrections) at -3.50 eV/atom. As for the space group: Fm-3m.

Please write out number 3 again, unchanged.
Below is an optimized crystal structure of K3ErS3O12, with properties calculated at the PBEsol level.

Cell lengths 9.165, 14.654, 8.950 Å; angles 90.00, 110.83, 90.00 degrees
Element x y z (fractional)
K  0.000  0.012  0.000
K  0.000  0.988  0.500
K  0.113  0.442  0.216
K  0.113  0.558  0.716
K  0.165  0.263  0.923
K  0.165  0.737  0.423
K  0.516  0.487  0.009
K  0.516  0.513  0.509
K  0.619  0.075  0.174
K  0.619  0.925  0.674
K  0.639  0.263  0.884
K  0.639  0.737  0.384
Er  0.339  0.144  0.428
Er  0.339  0.856  0.928
Er  0.845  0.325  0.468
Er  0.845  0.675  0.968
S  0.005  0.193  0.252
S  0.005  0.807  0.752
S  0.261  0.346  0.625
S  0.261  0.654  0.125
S  0.355  0.046  0.805
S  0.355  0.954  0.305
S  0.506  0.310  0.265
S  0.506  0.690  0.765
S  0.761  0.156  0.612
S  0.761  0.844  0.112
S  0.837  0.449  0.814
S  0.837  0.551  0.314
O  0.073  0.142  0.406
O  0.073  0.858  0.906
O  0.100  0.320  0.617
O  0.100  0.680  0.117
O  0.139  0.201  0.194
O  0.139  0.799  0.694
O  0.213  0.003  0.308
O  0.213  0.997  0.808
O  0.256  0.431  0.537
O  0.256  0.569  0.037
O  0.324  0.271  0.554
O  0.324  0.729  0.054
O  0.340  0.059  0.636
O  0.340  0.941  0.136
O  0.358  0.355  0.796
O  0.358  0.645  0.296
O  0.378  0.371  0.175
O  0.378  0.629  0.675
O  0.382  0.132  0.893
O  0.382  0.868  0.393
O  0.446  0.215  0.269
O  0.446  0.785  0.769
O  0.486  0.020  0.382
O  0.486  0.980  0.882
O  0.586  0.344  0.433
O  0.586  0.656  0.933
O  0.597  0.157  0.606
O  0.597  0.843  0.106
O  0.633  0.307  0.196
O  0.633  0.693  0.696
O  0.674  0.435  0.804
O  0.674  0.565  0.304
O  0.769  0.168  0.448
O  0.769  0.832  0.948
O  0.838  0.071  0.687
O  0.838  0.929  0.187
O  0.843  0.239  0.701
O  0.843  0.761  0.201
O  0.849  0.435  0.653
O  0.849  0.565  0.153
O  0.874  0.144  0.134
O  0.874  0.856  0.634
O  0.885  0.454  0.358
O  0.885  0.546  0.858
O  0.945  0.387  0.931
O  0.945  0.613  0.431
O  0.955  0.285  0.282
O  0.955  0.715  0.782

The calculation puts the uncorrected formation energy at -2.071 eV per atom. As for the space group: Pc.

Number 5 is which compound?
K3Er7S12